AcLa4Pm2Er: optimized geometry, GGA-PBE.

The structure belongs to space group C2/m (No. 12); the cell edges are 11.724, 5.265 and 10.589 Å and the angles 90.00°, 116.79° and 90.00°. The asymmetric unit holds Ac at (0.000, 0.000, 0.000), La at (0.246, 0.000, 0.869), La at (0.248, 0.500, 0.622), Pm at (0.001, 0.500, 0.744) and Er at (0.000, 0.000, 0.500).

For the density, the calculation gives 7.1 g cm⁻³. For the energy relative to the elements, the calculation gives 0.0287 eV/atom. Its density of states at the Fermi level is 1.7926 states/eV/atom.